1.
Below is a geometry-optimized Al2HgRh structure, with properties calculated at the PBE level.

Cell: 2.9036 3.0641 7.9343 Å, 89.05 90.00 90.00°
Last column: nearest neighbours and their distance in Å.
Positions (direct):
Rh 0.5000 0.7500 0.7500  8 Al 2.59
Hg 0.5000 0.2500 0.2500  4 Al 2.86, 4 Hg 2.90-3.06
Al 0.0000 0.2417 0.9398  4 Rh 2.59, 2 Hg 2.86
Al 0.0000 0.2583 0.5602  4 Rh 2.59, 2 Hg 2.86

- SG: P2/m (10)
- DFT formation energy: -44 kJ per mole of atoms
- Density of states at the Fermi level: 1.93 states/eV/cell
- E: -4.240 eV/atom
- Mass density: 8.41 g cm⁻³



2.
Below is a geometry-optimized Y3ErCo2 structure, with properties calculated at the PBE level.

Cell: 6.5310 6.9445 8.1401 Å, 115.25 113.65 90.00°
Last column: nearest neighbours and their distance in Å.
Positions (direct):
Y 0.5000 0.7500 0.0000  4 Co 2.88
Y 0.2341 0.4841 0.4681  4 Co 2.83-2.85
Y 0.5000 0.2500 0.0000  4 Co 2.88
Y 0.7659 0.0159 0.5319  4 Co 2.83-2.85
Y 0.2341 0.9841 0.4681  4 Co 2.83-2.85
Y 0.7659 0.5159 0.5319  4 Co 2.83-2.85
Co 0.4125 0.6349 0.2698  1 Er 2.54, 2 Y 2.83
Co 0.1426 0.8651 0.7302  1 Er 2.54, 2 Y 2.83
Co 0.8574 0.1349 0.2698  1 Er 2.54, 2 Y 2.83
Co 0.5875 0.3651 0.7302  1 Er 2.54, 2 Y 2.83
Er 0.0000 0.0000 0.0000  2 Co 2.54
Er 0.0000 0.5000 0.0000  2 Co 2.54

- SG: Ibam (72)
- DFT formation energy: -5 kJ per mole of atoms
- Excess energy over the best structure of this formula in the dataset: 0.1037 eV per atom
- Density of states at the Fermi level: 10.74 states/eV/cell
- E: -6.416 eV/atom
- Mass density: 6.12 g cm⁻³



3.
Below is a geometry-optimized UPdSe6 structure, with properties calculated at the PBE level.

Cell: 4.3363 9.5740 7.4099 Å, 48.41 97.48 84.47°
Last column: nearest neighbours and their distance in Å.
Positions (direct):
Se 0.9192 0.6831 0.1521  1 Pd 2.52, 1 U 2.74
Se 0.6699 0.3430 0.3023  1 Se 2.37
Se 0.4957 0.1327 0.6700  1 Se 2.37, 1 Pd 2.51
Se 0.5043 0.8673 0.3300  1 Se 2.37, 1 Pd 2.51
Se 0.3301 0.6570 0.6977  1 Se 2.37
Se 0.0808 0.3169 0.8479  1 Pd 2.52, 1 U 2.74
U 0.5000 0.5000 0.5000  8 Se 2.74-2.98
Pd 0.0000 0.0000 0.0000  4 Se 2.51-2.52

- SG: P-1 (2)
- Formation energy from raw total energies: -0.508 eV/atom
- Density of states at the Fermi level: 2.96 states/eV/cell
- E: -5.182 eV/atom
- Mass density: 6.15 g cm⁻³